Entry 1:
Below is Ta2SiTc after structural relaxation, with properties calculated at the PBE level.

The structure belongs to space group Amm2 (No. 38); the cell edges are 4.157, 3.213 and 9.769 Å and the angles 90.00°, 90.00° and 90.00°. Symmetry generates all atoms from Ta at (0.000, 0.000, 0.000), Ta at (0.500, 0.000, 0.297), Si at (0.000, 0.000, 0.727) and Tc at (0.500, 0.000, 0.563).

Its formation energy from raw total energies is -0.2937 eV per atom. The calculation puts the total energy at -10.167 eV/atom.


Entry 2:
Below is Tb4Rh2O after structural relaxation, with properties calculated at the PBE level.

The structure belongs to space group I4/mmm (No. 139); the cell edges are 4.603, 4.603 and 14.504 Å and the angles 90.00°, 90.00° and 90.00°. Symmetry generates all atoms from Tb at (0.000, 0.000, 0.185), Tb at (0.000, 0.500, 0.000), Rh at (0.000, 0.000, 0.370) and O at (0.000, 0.000, 0.000).

Its formation energy from raw total energies is -1.2499 eV per atom. The calculation puts the total energy at -6.704 eV/atom.


Entry 3:
Below is ZnInBr3 after structural relaxation, with properties calculated at the PBE level.

The structure belongs to space group P1 (No. 1); the cell edges are 6.720, 7.373 and 7.935 Å and the angles 98.27°, 92.59° and 107.25°. Symmetry generates all atoms from Zn at (0.000, 0.000, 0.000), Zn at (0.292, 0.106, 0.365), In at (0.281, 0.551, 0.823), In at (0.732, 0.779, 0.413), Br at (0.216, 0.799, 0.465), Br at (0.385, 0.053, 0.063), Br at (0.531, 0.368, 0.556), Br at (0.800, 0.670, 0.998), Br at (0.928, 0.142, 0.763) and Br at (0.970, 0.191, 0.283).

Its formation energy from raw total energies is -0.7766 eV per atom. The calculation puts the total energy at -2.583 eV/atom.


Entry 4:
Below is Pa2Ni5As4 after structural relaxation, with properties calculated at the PBE level.

The structure belongs to space group Fmmm (No. 69); the cell edges are 5.406, 9.407 and 13.973 Å and the angles 90.00°, 90.00° and 90.00°. Symmetry generates all atoms from Pa at (0.000, 0.000, 0.143), Ni at (0.000, 0.000, 0.500), Ni at (0.250, 0.250, 0.000), Ni at (0.250, 0.250, 0.250) and As at (0.000, 0.152, 0.368).

The calculation puts the total energy at -6.458 eV/atom. The calculated formation energy is -0.413 eV per atom.


Entry 5:
Below is NaBPbF6 after structural relaxation, with properties calculated at the PBE level.

The structure belongs to space group P1 (No. 1); the cell edges are 4.536, 4.543 and 7.071 Å and the angles 72.95°, 72.05° and 86.16°. Symmetry generates all atoms from Na at (0.000, 0.000, 0.000), B at (0.505, 0.496, 0.001), Pb at (0.683, 0.322, 0.501), F at (0.099, 0.232, 0.648), F at (0.279, 0.533, 0.181), F at (0.472, 0.718, 0.823), F at (0.475, 0.198, 0.981), F at (0.768, 0.907, 0.353) and F at (0.803, 0.524, 0.021).

Its formation energy from raw total energies is -2.7163 eV per atom. The calculation puts the total energy at -5.264 eV/atom.


Entry 6:
Below is UVRu2 after structural relaxation, with properties calculated at the PBE level.

The structure belongs to space group P4/mmm (No. 123); the cell edges are 4.254, 4.254 and 3.619 Å and the angles 90.00°, 90.00° and 90.00°. Symmetry generates all atoms from U at (0.000, 0.000, 0.000), V at (0.500, 0.500, 0.000) and Ru at (0.000, 0.500, 0.500).

The calculation puts the total energy at -9.909 eV/atom. The calculated formation energy is -0.169 eV per atom.


Entry 7:
Below is Er4PtRh after structural relaxation, with properties calculated at the PBE level.

The structure belongs to space group C2/c (No. 15); the cell edges are 8.876, 13.111 and 6.189 Å and the angles 90.00°, 123.65° and 90.00°. Symmetry generates all atoms from Er at (0.131, 0.181, 0.103), Er at (0.200, 0.438, 0.271), Pt at (0.000, 0.363, 0.750) and Rh at (0.000, 0.002, 0.750).

The calculation puts the total energy at -6.067 eV/atom. The calculated formation energy is -0.793 eV per atom.


Entry 8:
Below is Hg2TeCl2 after structural relaxation, with properties calculated at the PBE level.

The structure belongs to space group P4/mbm (No. 127); the cell edges are 8.681, 8.681 and 3.397 Å and the angles 90.00°, 90.00° and 90.00°. Symmetry generates all atoms from Hg at (0.172, 0.328, 0.000), Te at (0.000, 0.000, 0.500) and Cl at (0.128, 0.628, 0.500).

Its formation energy from raw total energies is 0.1469 eV per atom. The calculation puts the total energy at -1.341 eV/atom.